1.
Computed, not measured: a relaxed structure of TbTe2O5 at the PBE-GGA level of DFT.

abc: 7.124 7.361 10.727
angles: 90.00 90.00 90.00
Fractional positions:
Tb 0.750 0.000 0.945
Tb 0.250 0.500 0.555
Tb 0.250 0.000 0.055
Tb 0.750 0.500 0.445
Te 0.018 0.394 0.852
Te 0.518 0.106 0.648
Te 0.982 0.894 0.648
Te 0.482 0.606 0.852
Te 0.982 0.606 0.148
Te 0.482 0.894 0.352
Te 0.018 0.106 0.352
Te 0.518 0.394 0.148
O 0.250 0.000 0.438
O 0.750 0.500 0.062
O 0.750 0.000 0.562
O 0.250 0.500 0.938
O 0.670 0.316 0.286
O 0.170 0.184 0.214
O 0.330 0.816 0.214
O 0.830 0.684 0.286
O 0.330 0.684 0.714
O 0.830 0.816 0.786
O 0.670 0.184 0.786
O 0.170 0.316 0.714
O 0.029 0.340 0.435
O 0.529 0.160 0.065
O 0.971 0.840 0.065
O 0.471 0.660 0.435
O 0.971 0.660 0.565
O 0.471 0.840 0.935
O 0.029 0.160 0.935
O 0.529 0.340 0.565

2.
Computed, not measured: a relaxed structure of Tb2TeO3 at the PBE-GGA level of DFT.

abc: 3.879 6.618 9.726
angles: 114.72 90.00 107.04
Fractional positions:
Tb 0.525 0.049 0.769
Tb 0.475 0.951 0.231
Tb 0.841 0.681 0.440
Tb 0.159 0.319 0.560
Te 0.866 0.732 0.921
Te 0.134 0.268 0.079
O 0.346 0.691 0.579
O 0.020 0.039 0.654
O 0.699 0.398 0.736
O 0.301 0.602 0.264
O 0.980 0.961 0.346
O 0.654 0.309 0.421

3.
Computed, not measured: a relaxed structure of Tb3Te3O at the PBE-GGA level of DFT.

abc: 6.144 9.195 9.195
angles: 119.89 90.00 90.00
Fractional positions:
Tb 0.750 0.608 0.804
Tb 0.750 0.195 0.392
Tb 0.750 0.196 0.805
Tb 0.250 0.392 0.196
Tb 0.250 0.805 0.608
Tb 0.250 0.804 0.195
Te 0.250 0.626 0.813
Te 0.250 0.186 0.374
Te 0.250 0.187 0.814
Te 0.750 0.374 0.187
Te 0.750 0.814 0.626
Te 0.750 0.813 0.186
O 0.750 0.333 0.667
O 0.250 0.667 0.333

4.
Computed, not measured: a relaxed structure of TbTl2TeO8 at the PBE-GGA level of DFT.

abc: 5.059 5.063 6.864
angles: 90.00 90.00 91.05
Each line ends with the local moment (μB).
Fractional positions:
Tb 0.000 0.000 0.500  0.02
Tl 0.500 0.500 0.754  0.00
Tl 0.500 0.500 0.246  0.00
Te 0.000 0.000 0.000  -0.01
O 0.178 0.822 0.214  0.07
O 0.719 0.719 0.000  0.13
O 0.822 0.178 0.214  0.07
O 0.822 0.178 0.786  0.07
O 0.281 0.281 0.000  0.13
O 0.178 0.822 0.786  0.07
O 0.691 0.692 0.500  0.15
O 0.309 0.308 0.500  0.15

5.
Computed, not measured: a relaxed structure of TbTl2Te3O12 at the PBE-GGA level of DFT.

abc: 7.613 7.613 7.613
angles: 58.28 58.28 58.28
Each line ends with the local moment (μB).
Fractional positions:
Tb 0.000 0.000 0.000  0.01
Tl 0.649 0.649 0.649  0.01
Tl 0.351 0.351 0.351  0.01
Te 0.500 0.000 0.000  -0.01
Te 0.000 0.500 0.000  -0.01
Te 0.000 0.000 0.500  -0.01
O 0.313 0.313 0.920  0.05
O 0.922 0.922 0.359  0.07
O 0.359 0.922 0.922  0.07
O 0.920 0.313 0.313  0.05
O 0.922 0.359 0.922  0.07
O 0.313 0.920 0.313  0.05
O 0.687 0.687 0.080  0.05
O 0.078 0.078 0.641  0.07
O 0.641 0.078 0.078  0.07
O 0.080 0.687 0.687  0.05
O 0.078 0.641 0.078  0.07
O 0.687 0.080 0.687  0.05

6.
Computed, not measured: a relaxed structure of Tb2Tl2TeO6 at the PBE-GGA level of DFT.

abc: 6.012 6.012 6.862
angles: 98.27 98.27 119.79
Fractional positions:
Tb 0.334 0.666 0.500
Tb 0.666 0.334 0.500
Tl 0.833 0.167 0.000
Tl 0.167 0.833 0.000
Te 0.000 0.000 0.500
O 0.736 0.736 0.668
O 0.052 0.378 0.667
O 0.264 0.264 0.332
O 0.378 0.052 0.667
O 0.948 0.622 0.333
O 0.622 0.948 0.333

7.
Computed, not measured: a relaxed structure of TbTl2Te2O6 at the PBE-GGA level of DFT.

abc: 7.038 6.090 6.596
angles: 107.34 90.00 125.30
Fractional positions:
Tb 0.500 0.000 0.500
Tl 0.685 0.369 0.113
Tl 0.315 0.631 0.887
Te 0.947 0.894 0.749
Te 0.053 0.106 0.251
O 0.747 0.495 0.697
O 0.322 0.071 0.265
O 0.251 0.929 0.735
O 0.678 0.929 0.735
O 0.749 0.071 0.265
O 0.253 0.505 0.303

8.
Computed, not measured: a relaxed structure of TbTlTe2O8 at the PBE-GGA level of DFT.

abc: 5.971 5.971 8.006
angles: 90.00 90.00 120.00
Fractional positions:
Tb 0.000 0.000 0.500
Tl 0.000 0.000 0.000
Te 0.667 0.333 0.242
Te 0.333 0.667 0.758
O 0.333 0.667 0.985
O 0.338 0.216 0.324
O 0.784 0.122 0.324
O 0.667 0.333 0.015
O 0.216 0.878 0.676
O 0.662 0.784 0.676
O 0.122 0.338 0.676
O 0.878 0.662 0.324

9.
Computed, not measured: a relaxed structure of TbTlTeO6 at the PBE-GGA level of DFT.

abc: 5.032 5.032 10.072
angles: 90.00 90.00 90.00
Fractional positions:
Tb 0.500 0.500 0.496
Tb 0.000 0.000 0.996
Tl 0.500 0.500 0.168
Tl 0.000 0.000 0.668
Te 0.500 0.500 0.834
Te 0.000 0.000 0.334
O 0.184 0.816 0.478
O 0.816 0.184 0.478
O 0.316 0.316 0.978
O 0.684 0.684 0.978
O 0.181 0.819 0.186
O 0.819 0.181 0.186
O 0.319 0.319 0.686
O 0.681 0.681 0.686
O 0.775 0.225 0.836
O 0.225 0.775 0.836
O 0.725 0.725 0.336
O 0.275 0.275 0.336

10.
Computed, not measured: a relaxed structure of TbTmTeO2 at the PBE-GGA level of DFT.

abc: 4.060 6.775 7.706
angles: 106.78 90.00 90.00
Fractional positions:
Tb 0.250 0.671 0.923
Tb 0.750 0.329 0.077
Tm 0.250 0.658 0.412
Tm 0.750 0.342 0.588
Te 0.250 0.047 0.755
Te 0.750 0.953 0.245
O 0.750 0.509 0.382
O 0.250 0.491 0.618
O 0.750 0.519 0.875
O 0.250 0.481 0.125

11.
Computed, not measured: a relaxed structure of TbTmTeO6 at the PBE-GGA level of DFT.

abc: 5.502 5.502 9.565
angles: 90.00 90.00 120.00
Fractional positions:
Tb 0.000 0.000 0.000
Tb 0.000 0.000 0.500
Tm 0.333 0.667 0.250
Tm 0.667 0.333 0.750
Te 0.667 0.333 0.250
Te 0.333 0.667 0.750
O 0.667 0.629 0.136
O 0.962 0.333 0.136
O 0.333 0.962 0.636
O 0.038 0.667 0.864
O 0.371 0.333 0.364
O 0.962 0.629 0.364
O 0.629 0.962 0.864
O 0.667 0.038 0.364
O 0.038 0.371 0.636
O 0.371 0.038 0.136
O 0.629 0.667 0.636
O 0.333 0.371 0.864

12.
Computed, not measured: a relaxed structure of TbTm2TeO8 at the PBE-GGA level of DFT.

abc: 4.972 4.975 6.848
angles: 90.00 90.00 90.78
Each line ends with the local moment (μB).
Fractional positions:
Tb 0.000 0.000 0.500  0.04
Tm 0.500 0.500 0.755  0.00
Tm 0.500 0.500 0.245  0.00
Te 0.000 0.000 0.000  -0.01
O 0.185 0.815 0.212  0.03
O 0.720 0.721 0.000  0.07
O 0.815 0.185 0.212  0.03
O 0.815 0.185 0.788  0.03
O 0.280 0.279 0.000  0.07
O 0.185 0.815 0.788  0.03
O 0.685 0.686 0.500  0.17
O 0.315 0.314 0.500  0.17

Calculated values (μB/f.u.) of M_tot for the records, taken in order: 0.00 0.00 0.00 0.99 0.84 0.00 0.00 0.08 0.00 0.00 0.00 0.72.
Calculated values (eV/f.u.) of formation energy without anion corrections for the records, taken in order: -13.43 -16.65 -12.13 -14.82 -22.07 -21.45 -14.87 -16.87 -14.72 -14.94 -22.40 -30.60.